(1)
VASP calculation (PBE) on a geometry-optimized Y2PaTe2N2 structure.

```
data_Y2PaTe2N2
_space_group_name_H-M_alt 'P 1'
_space_group_IT_number 1
_space_group_name_Hall 'P 1'
_cell_length_a 4.3973
_cell_length_b 4.3973
_cell_length_c 8.7561
_cell_angle_alpha 104.54
_cell_angle_beta 104.54
_cell_angle_gamma 90.00
loop_
_atom_site_label
_atom_site_type_symbol
_atom_site_fract_x
_atom_site_fract_y
_atom_site_fract_z
Y1 Y 0.3956 0.3956 0.7912
Y2 Y 0.6044 0.6044 0.2088
Pa1 Pa 0.0000 0.0000 0.0000
Te1 Te 0.1863 0.1863 0.3727
Te2 Te 0.8137 0.8137 0.6273
N1 N 0.0000 0.5000 0.0000
N2 N 0.5000 0.0000 0.0000
```

Summary:
The magnetization comes out at 0.00 μB/cell. Its density of states at the Fermi level is 0.671 states/eV per atom. For the formation energy from raw total energies, the calculation gives -1296 meV/atom.

(2)
VASP calculation (PBE) on a geometry-optimized ErHfNb structure.

```
data_ErHfNb
_space_group_name_H-M_alt 'P 1'
_space_group_IT_number 1
_space_group_name_Hall 'P 1'
_cell_length_a 4.7154
_cell_length_b 3.0975
_cell_length_c 9.6145
_cell_angle_alpha 80.73
_cell_angle_beta 90.00
_cell_angle_gamma 90.00
loop_
_atom_site_label
_atom_site_type_symbol
_atom_site_fract_x
_atom_site_fract_y
_atom_site_fract_z
Hf1 Hf 0.2500 0.1388 0.7224
Hf2 Hf 0.7500 0.8612 0.2776
Er1 Er 0.2500 0.4461 0.1079
Er2 Er 0.7500 0.5539 0.8921
Nb1 Nb 0.7500 0.7131 0.5737
Nb2 Nb 0.2500 0.2869 0.4263
```

Summary:
The magnetization comes out at 0.00 μB/cell. For the formation energy, the calculation gives 0.25 eV per atom. Its density of states at the Fermi level is 1.222 states/eV per atom. For the energy above the lowest structure with this stoichiometry, the calculation gives 0.094 eV/atom.

(3)
VASP calculation (PBE) on a geometry-optimized Ca3Co5Cl12 structure.

```
data_Ca3Co5Cl12
_space_group_name_H-M_alt 'P 1'
_space_group_IT_number 1
_space_group_name_Hall 'P 1'
_cell_length_a 13.1365
_cell_length_b 13.1365
_cell_length_c 13.1365
_cell_angle_alpha 109.47
_cell_angle_beta 109.47
_cell_angle_gamma 109.47
loop_
_atom_site_label
_atom_site_type_symbol
_atom_site_fract_x
_atom_site_fract_y
_atom_site_fract_z
Ca1 Ca 0.7500 0.3750 0.1250
Ca2 Ca 0.8750 0.7500 0.1250
Ca3 Ca 0.3750 0.7500 0.6250
Ca4 Ca 0.2500 0.1250 0.3750
Ca5 Ca 0.8750 0.1250 0.2500
Ca6 Ca 0.3750 0.6250 0.2500
Ca7 Ca 0.6250 0.3750 0.7500
Ca8 Ca 0.1250 0.8750 0.7500
Ca9 Ca 0.7500 0.8750 0.6250
Ca10 Ca 0.6250 0.2500 0.3750
Ca11 Ca 0.1250 0.2500 0.8750
Ca12 Ca 0.2500 0.6250 0.8750
Co1 Co 0.1250 0.3750 0.2500
Co2 Co 0.0000 0.5000 0.0000
Co3 Co 0.0000 0.0000 0.0000
Co4 Co 0.3750 0.2500 0.1250
Co5 Co 0.5000 0.0000 0.5000
Co6 Co 0.5000 0.5000 0.0000
Co7 Co 0.1250 0.7500 0.3750
Co8 Co 0.7500 0.1250 0.8750
Co9 Co 0.7500 0.6250 0.3750
Co10 Co 0.3750 0.1250 0.7500
Co11 Co 0.6250 0.8750 0.2500
Co12 Co 0.5000 0.5000 0.5000
Co13 Co 0.5000 0.0000 0.0000
Co14 Co 0.0000 0.0000 0.5000
Co15 Co 0.2500 0.3750 0.6250
Co16 Co 0.2500 0.8750 0.1250
Co17 Co 0.0000 0.5000 0.5000
Co18 Co 0.8750 0.2500 0.6250
Co19 Co 0.6250 0.7500 0.8750
Co20 Co 0.8750 0.6250 0.7500
Cl1 Cl 0.7082 0.1217 0.0306
Cl2 Cl 0.3223 0.5306 0.4089
Cl3 Cl 0.9694 0.3783 0.2918
Cl4 Cl 0.5306 0.2082 0.1217
Cl5 Cl 0.5865 0.7082 0.6777
Cl6 Cl 0.9694 0.5911 0.1777
Cl7 Cl 0.3223 0.7918 0.4135
Cl8 Cl 0.0911 0.9135 0.1217
Cl9 Cl 0.5911 0.9694 0.6777
Cl10 Cl 0.7082 0.5865 0.1777
Cl11 Cl 0.7918 0.4694 0.3783
Cl12 Cl 0.8223 0.9089 0.0306
Cl13 Cl 0.1217 0.7082 0.5306
Cl14 Cl 0.3783 0.4089 0.0865
Cl15 Cl 0.0865 0.9089 0.3783
Cl16 Cl 0.4135 0.1217 0.5911
Cl17 Cl 0.0865 0.1777 0.2082
Cl18 Cl 0.4694 0.6777 0.0911
Cl19 Cl 0.8223 0.9135 0.2918
Cl20 Cl 0.1217 0.4135 0.0911
Cl21 Cl 0.3783 0.9694 0.7918
Cl22 Cl 0.5911 0.6217 0.4135
Cl23 Cl 0.9089 0.8223 0.5306
Cl24 Cl 0.7918 0.3223 0.9135
Cl25 Cl 0.4089 0.3783 0.5865
Cl26 Cl 0.0911 0.1777 0.4694
Cl27 Cl 0.2082 0.6777 0.0865
Cl28 Cl 0.1777 0.0865 0.7082
Cl29 Cl 0.6217 0.0306 0.2082
Cl30 Cl 0.8783 0.5865 0.9089
Cl31 Cl 0.5306 0.3223 0.9089
Cl32 Cl 0.5865 0.8783 0.4089
Cl33 Cl 0.9135 0.8223 0.7918
Cl34 Cl 0.9135 0.0911 0.6217
Cl35 Cl 0.8783 0.2918 0.4694
Cl36 Cl 0.1777 0.0911 0.9694
Cl37 Cl 0.6217 0.5911 0.9135
Cl38 Cl 0.4089 0.0306 0.3223
Cl39 Cl 0.2918 0.4135 0.8223
Cl40 Cl 0.2082 0.5306 0.6217
Cl41 Cl 0.9089 0.0865 0.8783
Cl42 Cl 0.6777 0.2082 0.5865
Cl43 Cl 0.4694 0.7918 0.8783
Cl44 Cl 0.0306 0.4089 0.8223
Cl45 Cl 0.4135 0.2918 0.3223
Cl46 Cl 0.0306 0.6217 0.7082
Cl47 Cl 0.6777 0.4694 0.5911
Cl48 Cl 0.2918 0.8783 0.9694
```

Summary:
The magnetization comes out at 44.00 μB/cell. Its density of states at the Fermi level is 0.650 states/eV per atom. For the formation energy from raw total energies, the calculation gives -1069 meV/atom.

(4)
VASP calculation (PBE) on a geometry-optimized Ti2Pd8Pb structure.

```
data_Ti2Pd8Pb
_space_group_name_H-M_alt 'P 1'
_space_group_IT_number 1
_space_group_name_Hall 'P 1'
_cell_length_a 3.9989
_cell_length_b 6.4562
_cell_length_c 7.4623
_cell_angle_alpha 105.49
_cell_angle_beta 105.54
_cell_angle_gamma 90.00
loop_
_atom_site_label
_atom_site_type_symbol
_atom_site_fract_x
_atom_site_fract_y
_atom_site_fract_z
Ti1 Ti 0.7811 0.3370 0.5622
Ti2 Ti 0.2189 0.6630 0.4378
Pd1 Pd 0.3986 0.5308 0.7973
Pd2 Pd 0.6821 0.9175 0.3642
Pd3 Pd 0.8447 0.7776 0.6895
Pd4 Pd 0.9550 0.2766 0.9099
Pd5 Pd 0.1553 0.2224 0.3105
Pd6 Pd 0.3179 0.0825 0.6358
Pd7 Pd 0.6014 0.4692 0.2027
Pd8 Pd 0.0451 0.7234 0.0901
Pb1 Pb 0.5000 0.0000 0.0000
```

Summary:
The magnetization comes out at 0.00 μB/cell. For the formation energy, the calculation gives -0.46 eV per atom. Its density of states at the Fermi level is 0.650 states/eV per atom.

- The highest magnetization belongs to which entry?
  Ca3Co5Cl12